Entry 1:
12
Lattice="2.499 1.443 7.714 -2.499 1.443 7.714 0.000 -2.885 7.714" Properties=species:S:1:pos:R:3 comment="GGA-PBE BaLi2ReF8, optimized geometry" magmom_total_mub_per_fu=3.00 sg="R-3, No. 148" energy_ev_per_cell=-66.4 pbc="T T T"
Ba 0.000 0.000 0.000
Li 0.000 0.000 5.623
Li 0.000 0.000 17.517
Re 0.000 0.000 11.570
F -1.572 0.083 10.365
F -0.858 -1.320 12.776
F 0.000 0.000 7.413
F 0.714 -1.403 10.365
F -0.714 1.403 12.776
F 0.000 0.000 15.727
F 0.858 1.320 10.365
F 1.572 -0.083 12.776

=====

Entry 2:
9
Lattice="5.409 0.000 0.000 -2.704 4.684 0.000 0.000 0.000 5.670" Properties=species:S:1:pos:R:3 comment="GGA-PBE BaLiRhF6, optimized geometry" magmom_total_mub_per_fu=0.19 sg="P312, No. 149" energy_ev_per_cell=-46.4 pbc="T T T"
Ba 0.000 0.000 0.000
Li 0.000 3.123 2.835
Rh 2.704 1.561 2.835
F 1.992 0.053 3.970
F 1.042 1.698 1.701
F 3.417 0.053 1.701
F 1.755 2.933 3.970
F 4.367 1.698 3.970
F 3.654 2.933 1.701

=====

Entry 3:
9
Lattice="5.425 0.000 0.000 -2.713 4.699 0.000 0.000 0.000 5.669" Properties=species:S:1:pos:R:3 comment="GGA-PBE BaLiRuF6, optimized geometry" magmom_total_mub_per_fu=1.00 sg="P312, No. 149" energy_ev_per_cell=-48.2 pbc="T T T"
Ba 0.000 0.000 0.000
Li 0.000 3.132 2.835
Ru 2.713 1.566 2.835
F 2.001 0.044 3.973
F 1.039 1.711 1.696
F 3.425 0.044 1.696
F 1.750 2.944 3.973
F 4.387 1.711 3.973
F 3.675 2.944 1.696

=====

Entry 4:
5
Lattice="4.255 0.000 0.000 0.000 4.255 0.000 0.000 0.000 7.563" Properties=species:S:1:pos:R:3 comment="GGA-PBE BaLi2SF, optimized geometry" magmom_total_mub_per_fu=0.93 sg="P4/mmm, No. 123" energy_ev_per_cell=-19.5 pbc="T T T"
Ba 0.000 0.000 0.000
Li 0.000 2.127 3.782
Li 2.127 0.000 3.782
S 2.127 2.127 0.000
F 2.127 2.127 3.782

=====

Entry 5:
8
Lattice="4.208 0.000 0.000 0.000 4.208 0.000 0.000 0.000 9.237" Properties=species:S:1:pos:R:3 comment="GGA-PBE BaLiSF, optimized geometry" magmom_total_mub_per_fu=0.00 sg="P4/nmm, No. 129" energy_ev_per_cell=-39.5 pbc="T T T"
Ba 1.052 1.052 1.617
Ba 3.156 3.156 7.620
Li 1.052 3.156 4.618
Li 3.156 1.052 4.618
S 1.052 1.052 5.972
S 3.156 3.156 3.265
F 1.052 3.156 0.000
F 3.156 1.052 0.000

=====

Entry 6:
9
Lattice="4.483 0.000 0.000 0.041 5.895 0.000 0.005 2.943 5.305" Properties=species:S:1:pos:R:3 comment="GGA-PBE BaLiSbF6, optimized geometry" magmom_total_mub_per_fu=0.00 sg="P1, No. 1" energy_ev_per_cell=-46.0 pbc="T T T"
Ba 0.000 0.000 0.000
Li 2.589 2.901 1.786
Sb 2.582 5.859 3.495
F 2.039 2.234 3.622
F 2.105 4.792 1.389
F 2.095 1.728 0.232
F 3.929 6.925 2.340
F 3.948 4.334 3.125
F 4.010 6.292 4.910

=====

> What is the formula in the third record?

BaLiRuF6